Record 1
Li5C | PBE | optimized geometry

Output
DOS(E_F), states/eV/cell: 2.4
E_form, eV per atom: 0.325

```
data_Li5C
_symmetry_space_group_name_H-M 'C 1 2/m 1'
_symmetry_Int_Tables_number 12
_symmetry_space_group_name_Hall '-C 2y'
_cell_length_a 9.649
_cell_length_b 2.745
_cell_length_c 7.168
_cell_angle_alpha 90.00
_cell_angle_beta 114.52
_cell_angle_gamma 90.00
loop_
_atom_site_label
_atom_site_fract_x
_atom_site_fract_y
_atom_site_fract_z
_atom_site_occupancy
Li1 0.000 0.000 0.000 1
Li2 0.118 0.500 0.394 1
Li3 0.154 0.500 0.750 1
C1 0.000 0.000 0.500 1
```

Record 2
Li3C | PBE | optimized geometry

Output
DOS(E_F), states/eV/cell: 1.5
E_form, eV per atom: 0.681

```
data_Li3C
_symmetry_space_group_name_H-M 'P m m 2'
_symmetry_Int_Tables_number 25
_symmetry_space_group_name_Hall 'P 2 -2'
_cell_length_a 2.975
_cell_length_b 3.669
_cell_length_c 3.667
_cell_angle_alpha 90.00
_cell_angle_beta 90.00
_cell_angle_gamma 90.00
loop_
_atom_site_label
_atom_site_fract_x
_atom_site_fract_y
_atom_site_fract_z
_atom_site_occupancy
Li1 0.000 0.000 0.000 1
Li2 0.000 0.500 0.498 1
Li3 0.500 0.500 0.996 1
C1 0.500 0.000 0.500 1
```

Record 3
LiC3 | PBE | optimized geometry

Output
DOS(E_F), states/eV/cell: 2.0
E_form, eV per atom: 1.590

```
data_LiC3
_symmetry_space_group_name_H-M 'P m m 2'
_symmetry_Int_Tables_number 25
_symmetry_space_group_name_Hall 'P 2 -2'
_cell_length_a 2.565
_cell_length_b 4.953
_cell_length_c 3.602
_cell_angle_alpha 90.00
_cell_angle_beta 90.00
_cell_angle_gamma 90.00
loop_
_atom_site_label
_atom_site_fract_x
_atom_site_fract_y
_atom_site_fract_z
_atom_site_occupancy
Li1 0.000 0.000 0.000 1
C1 0.000 0.500 0.503 1
C2 0.500 0.000 0.500 1
C3 0.500 0.500 0.503 1
```

Record 4
Li3C | PBE | optimized geometry

Output
DOS(E_F), states/eV/cell: 1.4
E_form, eV per atom: 0.649

```
data_Li3C
_symmetry_space_group_name_H-M 'P 1 2/m 1'
_symmetry_Int_Tables_number 10
_symmetry_space_group_name_Hall '-P 2y'
_cell_length_a 3.066
_cell_length_b 3.648
_cell_length_c 4.280
_cell_angle_alpha 90.00
_cell_angle_beta 107.65
_cell_angle_gamma 90.00
loop_
_atom_site_label
_atom_site_fract_x
_atom_site_fract_y
_atom_site_fract_z
_atom_site_occupancy
Li1 0.000 0.000 0.000 1
Li2 0.321 0.500 0.689 1
C1 0.500 0.000 0.500 1
```

Record 5
LiC2 | PBE | optimized geometry

Output
DOS(E_F), states/eV/cell: 1.9
E_form, eV per atom: 0.629

```
data_LiC2
_symmetry_space_group_name_H-M 'I 41/a m d'
_symmetry_Int_Tables_number 141
_cell_length_a 2.815
_cell_length_b 2.815
_cell_length_c 9.195
_cell_angle_alpha 90.00
_cell_angle_beta 90.00
_cell_angle_gamma 90.00
loop_
_symmetry_equiv_pos_as_xyz
'x,y,z'
'-x,-y,-z'
'-y+1/4,x+3/4,z+1/4'
'y+1/4,-x+3/4,-z+1/4'
'-x+1/2,-y,z+1/2'
'x+1/2,y,-z+1/2'
'y+1/4,-x+1/4,z+3/4'
'-y+1/4,x+1/4,-z+3/4'
'x,-y,-z'
'-x,y,z'
'-y+1/4,-x+1/4,-z+3/4'
'y+1/4,x+1/4,z+3/4'
'-x+1/2,y,-z+1/2'
'x+1/2,-y,z+1/2'
'y+1/4,x+3/4,-z+1/4'
'-y+1/4,-x+3/4,z+1/4'
'x+1/2,y+1/2,z+1/2'
'-x+1/2,-y+1/2,-z+1/2'
'-y+3/4,x+1/4,z+3/4'
'y+3/4,-x+1/4,-z+3/4'
'-x,-y+1/2,z'
'x,y+1/2,-z'
'y+3/4,-x+3/4,z+1/4'
'-y+3/4,x+3/4,-z+1/4'
'x+1/2,-y+1/2,-z+1/2'
'-x+1/2,y+1/2,z+1/2'
'-y+3/4,-x+3/4,-z+1/4'
'y+3/4,x+3/4,z+1/4'
'-x,y+1/2,-z'
'x,-y+1/2,z'
'y+3/4,x+1/4,-z+3/4'
'-y+3/4,-x+1/4,z+3/4'
loop_
_atom_site_label
_atom_site_fract_x
_atom_site_fract_y
_atom_site_fract_z
_atom_site_occupancy
Li1 0.000 0.250 0.375 1
C1 0.000 0.250 0.793 1
```

Record 6
LiC6 | PBE | optimized geometry

Output
DOS(E_F), states/eV/cell: 1.6
E_form, eV per atom: -0.010

```
data_LiC6
_symmetry_space_group_name_H-M 'P 6/m m m'
_symmetry_Int_Tables_number 191
_symmetry_space_group_name_Hall '-P 6 2'
_cell_length_a 4.3248
_cell_length_b 4.3248
_cell_length_c 3.8124
_cell_angle_alpha 90.00
_cell_angle_beta 90.00
_cell_angle_gamma 120.00
loop_
_atom_site_label
_atom_site_fract_x
_atom_site_fract_y
_atom_site_fract_z
_atom_site_occupancy
Li1 0.0000 0.0000 0.0000 1
C1 0.0000 0.3336 0.5000 1
```

Record 7
LiC2 | PBE | optimized geometry

Output
DOS(E_F), states/eV/cell: 1.9
E_form, eV per atom: 0.193

```
data_LiC2
_symmetry_space_group_name_H-M 'R 3 m'
_symmetry_Int_Tables_number 160
_symmetry_space_group_name_Hall 'R 3 -2"'
_cell_length_a 2.5619
_cell_length_b 2.5619
_cell_length_c 11.5639
_cell_angle_alpha 90.00
_cell_angle_beta 90.00
_cell_angle_gamma 120.00
loop_
_atom_site_label
_atom_site_fract_x
_atom_site_fract_y
_atom_site_fract_z
_atom_site_occupancy
Li1 0.0000 0.0000 0.0000 1
C1 0.0000 0.0000 0.1822 1
C2 0.0000 0.0000 0.4978 1
```

Record 8
Li3C | PBE | optimized geometry

Output
DOS(E_F), states/eV/cell: 8.8
E_form, eV per atom: 0.508

```
data_Li3C
_symmetry_space_group_name_H-M 'C m c m'
_symmetry_Int_Tables_number 63
_symmetry_space_group_name_Hall '-C 2c 2'
_cell_length_a 6.655
_cell_length_b 6.767
_cell_length_c 3.680
_cell_angle_alpha 90.00
_cell_angle_beta 90.00
_cell_angle_gamma 90.00
loop_
_atom_site_label
_atom_site_fract_x
_atom_site_fract_y
_atom_site_fract_z
_atom_site_occupancy
Li1 0.000 0.087 0.250 1
Li2 0.177 0.373 0.250 1
C1 0.000 0.252 0.750 1
```